Compound: GdHoMnRu
Source: Alexandria
Functional: PBE-GGA
Structure: relaxed

Calculated values
Energy of formation from the pure elements in eV/atom: -0.07
Calculated volume in Å³/cell: 83.70

a = 4.910 Å, b = 4.910 Å, c = 4.910 Å
α = 60.00°, β = 60.00°, γ = 60.00°
Element x y z (fractional)
Gd (0.000, 0.000, 0.000)
Ho (0.500, 0.500, 0.500)
Mn (0.750, 0.750, 0.750)
Ru (0.250, 0.250, 0.250)

Compound: GdHoN
Source: Alexandria
Functional: PBE-GGA
Structure: relaxed

Calculated values
Formation energy without anion corrections in eV/atom: -0.34
Calculated volume in Å³/cell: 54.53

a = 4.256 Å, b = 4.256 Å, c = 4.256 Å
α = 60.00°, β = 60.00°, γ = 60.00°
Element x y z (fractional)
Gd (0.000, 0.000, 0.000)
Ho (0.500, 0.500, 0.500)
N (0.750, 0.750, 0.750)

Compound: GdHo3N
Source: Alexandria
Functional: PBE-GGA
Structure: relaxed

Calculated values
Formation energy without anion corrections in eV/atom: -0.52
Calculated volume in Å³/cell: 120.56

a = 4.940 Å, b = 4.940 Å, c = 4.940 Å
α = 90.00°, β = 90.00°, γ = 90.00°
Element x y z (fractional)
Gd (0.000, 0.000, 0.000)
Ho (0.000, 0.500, 0.500)
Ho (0.500, 0.000, 0.500)
Ho (0.500, 0.500, 0.000)
N (0.500, 0.500, 0.500)

Compound: GdHoN
Source: Alexandria
Functional: PBE-GGA
Structure: relaxed

Calculated values
Formation energy without anion corrections in eV/atom: -1.03
Calculated volume in Å³/cell: 63.96

a = 3.512 Å, b = 3.512 Å, c = 5.988 Å
α = 90.00°, β = 90.00°, γ = 120.00°
Element x y z (fractional)
Gd (0.000, 0.000, 0.000)
Ho (0.333, 0.667, 0.550)
N (0.667, 0.333, 0.762)

Summary of D(E_F) in states/eV per cell
2.62, 1.78, 5.07, 2.07
(order as listed above)
Summary of calculated density in g/cm3
9.49, 10.24, 9.17, 8.73
(order as listed above)